# LiSnBr (GGA-PBE, relaxed)
# Energy relative to the elements, uncorrected   -2.6 eV per formula unit
# E above lowest polymorph   16 meV/atom
# Magnetic moment   0.0 μB/cell
# DOS at the Fermi energy   0.07 states/eV per atom
data_LiSnBr
_cell_length_a 4.535
_cell_length_b 4.535
_cell_length_c 11.389
_cell_angle_alpha 89.13
_cell_angle_beta 88.62
_cell_angle_gamma 60.02
_symmetry_space_group_name_H-M 'P 1'
_symmetry_Int_Tables_number 1
loop_
_symmetry_equiv_pos_as_xyz
'x,y,z'
loop_
_atom_site_label
_atom_site_fract_x
_atom_site_fract_y
_atom_site_fract_z
Li1 0.000 0.000 0.000
Li2 0.344 0.336 0.803
Sn1 0.642 0.676 0.345
Sn2 0.971 0.009 0.428
Br1 0.012 0.003 0.770
Br2 0.331 0.333 0.030

***

# ErTmAlAg (GGA-PBE, relaxed)
# ΔH_f (0 K)   -136 kJ/mol of formula units
# E above lowest polymorph   16 meV/atom
# Magnetic moment   0.0 μB/cell
# DOS at the Fermi energy   0.76 states/eV per atom
data_ErTmAlAg
_cell_length_a 7.205
_cell_length_b 7.205
_cell_length_c 7.205
_cell_angle_alpha 90.00
_cell_angle_beta 90.00
_cell_angle_gamma 90.00
_symmetry_space_group_name_H-M 'F -4 3 m'
_symmetry_Int_Tables_number 216
_symmetry_space_group_name_Hall 'F -4 2 3'
loop_
_atom_site_label
_atom_site_fract_x
_atom_site_fract_y
_atom_site_fract_z
Er1 0.000 0.000 0.000
Tm1 0.000 0.000 0.500
Al1 0.250 0.250 0.750
Ag1 0.250 0.250 0.250

***

# SnHg3I9 (GGA-PBE, relaxed)
# Energy relative to the elements, uncorrected   -3.3 eV per formula unit
# Magnetic moment   0.0 μB/cell
# DOS at the Fermi energy   0.41 states/eV per atom
data_SnHg3I9
_cell_length_a 20.535
_cell_length_b 10.533
_cell_length_c 14.920
_cell_angle_alpha 90.00
_cell_angle_beta 129.16
_cell_angle_gamma 90.00
_symmetry_space_group_name_H-M 'C 1 c 1'
_symmetry_Int_Tables_number 9
loop_
_symmetry_equiv_pos_as_xyz
'x,y,z'
'x,-y,z+1/2'
'x+1/2,y+1/2,z'
'x+1/2,-y+1/2,z+1/2'
loop_
_atom_site_label
_atom_site_fract_x
_atom_site_fract_y
_atom_site_fract_z
Sn1 0.000 0.226 0.000
Hg1 0.141 0.433 0.836
Hg2 0.275 0.073 0.779
Hg3 0.376 0.380 0.680
I1 0.006 0.302 0.797
I2 0.007 0.061 0.173
I3 0.124 0.435 0.149
I4 0.146 0.027 0.064
I5 0.202 0.349 0.486
I6 0.274 0.251 0.924
I7 0.356 0.426 0.300
I8 0.364 0.120 0.467
I9 0.424 0.154 0.814

***

# SbWSe2 (GGA-PBE, relaxed)
# Energy relative to the elements, uncorrected   0.1 eV per formula unit
# Magnetic moment   0.0 μB/cell
# DOS at the Fermi energy   0.35 states/eV per atom
data_SbWSe2
_cell_length_a 5.833
_cell_length_b 6.236
_cell_length_c 6.548
_cell_angle_alpha 115.63
_cell_angle_beta 96.86
_cell_angle_gamma 108.30
_symmetry_space_group_name_H-M 'P 1'
_symmetry_Int_Tables_number 1
loop_
_symmetry_equiv_pos_as_xyz
'x,y,z'
loop_
_atom_site_label
_atom_site_fract_x
_atom_site_fract_y
_atom_site_fract_z
Sb1 0.000 0.000 0.000
Sb2 0.140 0.050 0.597
W1 0.471 0.211 0.352
W2 0.611 0.493 0.817
Se1 0.422 0.624 0.532
Se2 0.444 0.761 0.137
Se3 0.725 0.328 0.088
Se4 0.923 0.387 0.615